VP2Ru: optimized geometry, PBE.

The structure in POSCAR format:
```
VP2Ru
1.0
0.000 2.930 2.930
2.930 0.000 2.930
2.930 2.930 0.000
Ru V P
1 1 2
Cartesian
2.930 2.930 2.930
0.000 0.000 0.000
1.465 1.465 1.465
4.396 4.396 4.396
```

Computed properties:
Energy relative to the lowest polymorph listed for this composition ... 0.20 eV/f.u.
V ... 12.6 A^3/atom
Calculated total energy ... -30.74 eV per cell
Space group ... Fm-3m, No. 225
ΔE_f ... -381 meV per atom
N(E_F) ... 5.139 states/eV/f.u.